# Ti5Mn3 GGA-PBE relaxed
# Energy of formation, eV/atom: -0.175
# Offset from the most stable computed form, meV per atom: 0
data_Ti5Mn3
_cell_length_a 3.020
_cell_length_b 3.020
_cell_length_c 12.497
_cell_angle_alpha 90.00
_cell_angle_beta 90.00
_cell_angle_gamma 90.00
_space_group_name_H-M_alt 'P 4/m m m'
_space_group_IT_number 123
_space_group_name_Hall '-P 4 2'
loop_
_atom_site_label
_atom_site_fract_x
_atom_site_fract_y
_atom_site_fract_z
_atom_site_occupancy
Ti1 0.000 0.000 0.000 1
Ti2 0.000 0.000 0.229 1
Ti3 0.500 0.500 0.387 1
Mn1 0.000 0.000 0.500 1
Mn2 0.500 0.500 0.124 1


# Ac3PuS4 GGA-PBE relaxed
# Offset from the most stable computed form, meV per atom: 20
data_Ac3PuS4
_cell_length_a 6.009
_cell_length_b 6.009
_cell_length_c 6.009
_cell_angle_alpha 90.00
_cell_angle_beta 90.00
_cell_angle_gamma 90.00
_space_group_name_H-M_alt 'P m -3 m'
_space_group_IT_number 221
_space_group_name_Hall '-P 4 2 3'
loop_
_atom_site_label
_atom_site_fract_x
_atom_site_fract_y
_atom_site_fract_z
_atom_site_occupancy
Ac1 0.000 0.000 0.500 1
Pu1 0.500 0.500 0.500 1
S1 0.000 0.000 0.000 1
S2 0.000 0.500 0.500 1


# LuMnPdRu GGA-PBE relaxed
# Energy of formation, eV/atom: -0.342
data_LuMnPdRu
_cell_length_a 6.440
_cell_length_b 6.440
_cell_length_c 6.440
_cell_angle_alpha 90.00
_cell_angle_beta 90.00
_cell_angle_gamma 90.00
_space_group_name_H-M_alt 'F -4 3 m'
_space_group_IT_number 216
_space_group_name_Hall 'F -4 2 3'
loop_
_atom_site_label
_atom_site_fract_x
_atom_site_fract_y
_atom_site_fract_z
_atom_site_occupancy
Lu1 0.000 0.000 0.000 1
Mn1 0.000 0.000 0.500 1
Pd1 0.250 0.250 0.250 1
Ru1 0.250 0.250 0.750 1


# Y2Be2Ag GGA-PBE relaxed
# Energy of formation, eV/atom: -0.030
data_Y2Be2Ag
_cell_length_a 6.917
_cell_length_b 6.917
_cell_length_c 4.091
_cell_angle_alpha 90.00
_cell_angle_beta 90.00
_cell_angle_gamma 90.00
_space_group_name_H-M_alt 'P 4/m b m'
_space_group_IT_number 127
_space_group_name_Hall '-P 4 2ab'
loop_
_atom_site_label
_atom_site_fract_x
_atom_site_fract_y
_atom_site_fract_z
_atom_site_occupancy
Y1 0.176 0.324 0.000 1
Be1 0.113 0.613 0.500 1
Ag1 0.000 0.000 0.500 1


| no. | final energy (Ha/atom) |
| --- | --- |
| 1 | -0.314 |
| 2 | -0.268 |
| 3 | -0.271 |
| 4 | -0.172 |